SrAlH5 (GGA-PBE, optimized geometry); space group = No. 15; energy above the lowest structure with this stoichiometry = 59.5 meV/atom; N(E_F) = 0.0 states/eV/cell; mass density = 2.75 Mg/m³; total energy = -48.27 eV/cell
1.0
0.468 -1.958 -4.389
-2.077 -2.881 3.271
-5.501 4.792 -0.637
Sr Al H
2 2 10
direct
0.753 0.503 0.250 Sr
0.247 0.497 0.750 Sr
0.000 0.000 0.000 Al
0.500 0.000 0.500 Al
0.714 0.975 0.098 H
0.158 0.871 0.563 H
0.623 0.384 0.598 H
0.259 0.009 0.250 H
0.808 0.595 0.937 H
0.192 0.405 0.063 H
0.741 0.991 0.750 H
0.377 0.616 0.402 H
0.842 0.129 0.437 H
0.286 0.025 0.902 H